# Sr2NiCl (PBE, relaxed)
data_Sr2NiCl
_cell_length_a 5.428
_cell_length_b 5.428
_cell_length_c 3.600
_cell_angle_alpha 90.00
_cell_angle_beta 90.00
_cell_angle_gamma 90.00
_symmetry_space_group_name_H-M 'P 1'
_symmetry_Int_Tables_number 1
loop_
_symmetry_equiv_pos_as_xyz
'x,y,z'
loop_
_atom_site_label
_atom_site_type_symbol
_atom_site_fract_x
_atom_site_fract_y
_atom_site_fract_z
Sr1 Sr 0.000 0.500 0.000
Sr2 Sr 0.500 0.000 0.000
Ni1 Ni 0.000 0.000 0.500
Cl1 Cl 0.500 0.500 0.500
# - Total DFT energy (no corrections): -3.38 eV per atom
# - E above lowest polymorph: 0.1936 eV/atom

# Sr2NiCl (PBE, relaxed)
data_Sr2NiCl
_cell_length_a 5.357
_cell_length_b 5.357
_cell_length_c 5.357
_cell_angle_alpha 60.00
_cell_angle_beta 60.00
_cell_angle_gamma 60.00
_symmetry_space_group_name_H-M 'P 1'
_symmetry_Int_Tables_number 1
loop_
_symmetry_equiv_pos_as_xyz
'x,y,z'
loop_
_atom_site_label
_atom_site_type_symbol
_atom_site_fract_x
_atom_site_fract_y
_atom_site_fract_z
Sr1 Sr 0.000 0.000 0.000
Sr2 Sr 0.250 0.250 0.250
Ni1 Ni 0.750 0.750 0.750
Cl1 Cl 0.500 0.500 0.500
# - Total DFT energy (no corrections): -2.71 eV per atom
# - E above lowest polymorph: 0.8656 eV/atom

# SrNiCl4 (PBE, relaxed)
data_SrNiCl4
_cell_length_a 5.979
_cell_length_b 5.979
_cell_length_c 5.979
_cell_angle_alpha 60.00
_cell_angle_beta 60.00
_cell_angle_gamma 60.00
_symmetry_space_group_name_H-M 'P 1'
_symmetry_Int_Tables_number 1
loop_
_symmetry_equiv_pos_as_xyz
'x,y,z'
loop_
_atom_site_label
_atom_site_type_symbol
_atom_site_fract_x
_atom_site_fract_y
_atom_site_fract_z
Sr1 Sr 0.000 0.000 0.000
Ni1 Ni 0.250 0.250 0.250
Cl1 Cl 0.126 0.625 0.625
Cl2 Cl 0.625 0.126 0.625
Cl3 Cl 0.625 0.625 0.126
Cl4 Cl 0.625 0.625 0.625
# - Total DFT energy (no corrections): -2.54 eV per atom

# Sr2NiCl (PBE, relaxed)
data_Sr2NiCl
_cell_length_a 4.872
_cell_length_b 6.246
_cell_length_c 6.246
_cell_angle_alpha 35.91
_cell_angle_beta 90.00
_cell_angle_gamma 90.00
_symmetry_space_group_name_H-M 'P 1'
_symmetry_Int_Tables_number 1
loop_
_symmetry_equiv_pos_as_xyz
'x,y,z'
loop_
_atom_site_label
_atom_site_type_symbol
_atom_site_fract_x
_atom_site_fract_y
_atom_site_fract_z
Sr1 Sr 0.000 0.000 0.000
Sr2 Sr 0.500 0.261 0.261
Ni1 Ni 0.500 0.513 0.513
Cl1 Cl 0.000 0.746 0.746
# - Total DFT energy (no corrections): -3.43 eV per atom
# - E above lowest polymorph: 0.1455 eV/atom

# Sr2NiCl (PBE, relaxed)
data_Sr2NiCl
_cell_length_a 8.234
_cell_length_b 8.234
_cell_length_c 8.234
_cell_angle_alpha 29.29
_cell_angle_beta 29.29
_cell_angle_gamma 29.29
_symmetry_space_group_name_H-M 'P 1'
_symmetry_Int_Tables_number 1
loop_
_symmetry_equiv_pos_as_xyz
'x,y,z'
loop_
_atom_site_label
_atom_site_type_symbol
_atom_site_fract_x
_atom_site_fract_y
_atom_site_fract_z
Sr1 Sr 0.000 0.000 0.000
Sr2 Sr 0.189 0.189 0.189
Ni1 Ni 0.594 0.594 0.594
Cl1 Cl 0.763 0.763 0.763
# - Total DFT energy (no corrections): -3.56 eV per atom
# - E above lowest polymorph: 0.0231 eV/atom

# Sr2NiCl (PBE, relaxed)
data_Sr2NiCl
_cell_length_a 8.467
_cell_length_b 8.467
_cell_length_c 8.467
_cell_angle_alpha 28.04
_cell_angle_beta 28.04
_cell_angle_gamma 28.04
_symmetry_space_group_name_H-M 'P 1'
_symmetry_Int_Tables_number 1
loop_
_symmetry_equiv_pos_as_xyz
'x,y,z'
loop_
_atom_site_label
_atom_site_type_symbol
_atom_site_fract_x
_atom_site_fract_y
_atom_site_fract_z
Sr1 Sr 0.000 0.000 0.000
Sr2 Sr 0.152 0.152 0.152
Ni1 Ni 0.409 0.409 0.409
Cl1 Cl 0.578 0.578 0.578
# - Total DFT energy (no corrections): -3.48 eV per atom
# - E above lowest polymorph: 0.0959 eV/atom

# Sr2NiCl (PBE, relaxed)
data_Sr2NiCl
_cell_length_a 4.371
_cell_length_b 4.371
_cell_length_c 6.047
_cell_angle_alpha 90.00
_cell_angle_beta 90.00
_cell_angle_gamma 90.00
_symmetry_space_group_name_H-M 'P 1'
_symmetry_Int_Tables_number 1
loop_
_symmetry_equiv_pos_as_xyz
'x,y,z'
loop_
_atom_site_label
_atom_site_type_symbol
_atom_site_fract_x
_atom_site_fract_y
_atom_site_fract_z
Sr1 Sr 0.000 0.000 0.000
Sr2 Sr 0.500 0.500 0.500
Ni1 Ni 0.000 0.000 0.500
Cl1 Cl 0.500 0.500 0.000
# - Total DFT energy (no corrections): -3.52 eV per atom
# - E above lowest polymorph: 0.0538 eV/atom

# Sr2NiCl (PBE, relaxed)
data_Sr2NiCl
_cell_length_a 8.121
_cell_length_b 8.121
_cell_length_c 8.121
_cell_angle_alpha 29.83
_cell_angle_beta 29.83
_cell_angle_gamma 29.83
_symmetry_space_group_name_H-M 'P 1'
_symmetry_Int_Tables_number 1
loop_
_symmetry_equiv_pos_as_xyz
'x,y,z'
loop_
_atom_site_label
_atom_site_type_symbol
_atom_site_fract_x
_atom_site_fract_y
_atom_site_fract_z
Sr1 Sr 0.240 0.240 0.240
Sr2 Sr 0.760 0.760 0.760
Ni1 Ni 0.500 0.500 0.500
Cl1 Cl 0.000 0.000 0.000
# - Total DFT energy (no corrections): -3.58 eV per atom
# - E above lowest polymorph: 0.0000 eV/atom

# Sr8Ni2Cl (PBE, relaxed)
data_Sr8Ni2Cl
_cell_length_a 8.685
_cell_length_b 8.685
_cell_length_c 6.241
_cell_angle_alpha 91.87
_cell_angle_beta 91.87
_cell_angle_gamma 80.98
_symmetry_space_group_name_H-M 'P 1'
_symmetry_Int_Tables_number 1
loop_
_symmetry_equiv_pos_as_xyz
'x,y,z'
loop_
_atom_site_label
_atom_site_type_symbol
_atom_site_fract_x
_atom_site_fract_y
_atom_site_fract_z
Sr1 Sr 0.109 0.109 0.247
Sr2 Sr 0.135 0.621 0.256
Sr3 Sr 0.335 0.335 0.782
Sr4 Sr 0.379 0.865 0.744
Sr5 Sr 0.621 0.135 0.256
Sr6 Sr 0.665 0.665 0.218
Sr7 Sr 0.865 0.379 0.744
Sr8 Sr 0.891 0.891 0.753
Ni1 Ni 0.118 0.118 0.746
Ni2 Ni 0.882 0.882 0.254
Cl1 Cl 0.500 0.500 0.500
# - Total DFT energy (no corrections): -2.71 eV per atom

# Sr2NiCl (PBE, relaxed)
data_Sr2NiCl
_cell_length_a 7.009
_cell_length_b 7.009
_cell_length_c 7.009
_cell_angle_alpha 113.76
_cell_angle_beta 113.76
_cell_angle_gamma 101.21
_symmetry_space_group_name_H-M 'P 1'
_symmetry_Int_Tables_number 1
loop_
_symmetry_equiv_pos_as_xyz
'x,y,z'
loop_
_atom_site_label
_atom_site_type_symbol
_atom_site_fract_x
_atom_site_fract_y
_atom_site_fract_z
Sr1 Sr 0.113 0.625 0.988
Sr2 Sr 0.375 0.363 0.488
Sr3 Sr 0.637 0.125 0.012
Sr4 Sr 0.875 0.887 0.512
Ni1 Ni 0.000 0.000 0.000
Ni2 Ni 0.750 0.250 0.500
Cl1 Cl 0.250 0.750 0.500
Cl2 Cl 0.500 0.500 0.000
# - Total DFT energy (no corrections): -3.36 eV per atom
# - E above lowest polymorph: 0.2151 eV/atom

# SrNiTeCl2 (PBE, relaxed)
data_SrNiTeCl2
_cell_length_a 5.361
_cell_length_b 5.361
_cell_length_c 6.824
_cell_angle_alpha 90.00
_cell_angle_beta 90.00
_cell_angle_gamma 90.00
_symmetry_space_group_name_H-M 'P 1'
_symmetry_Int_Tables_number 1
loop_
_symmetry_equiv_pos_as_xyz
'x,y,z'
loop_
_atom_site_label
_atom_site_type_symbol
_atom_site_fract_x
_atom_site_fract_y
_atom_site_fract_z
Sr1 Sr 0.000 0.000 0.000
Ni1 Ni 0.500 0.500 0.500
Te1 Te 0.000 0.000 0.500
Cl1 Cl 0.000 0.500 0.000
Cl2 Cl 0.500 0.000 0.000
# - Total DFT energy (no corrections): -3.17 eV per atom

# SrTlNiCl2 (PBE, relaxed)
data_SrTlNiCl2
_cell_length_a 4.871
_cell_length_b 4.871
_cell_length_c 5.259
_cell_angle_alpha 90.00
_cell_angle_beta 90.00
_cell_angle_gamma 90.00
_symmetry_space_group_name_H-M 'P 1'
_symmetry_Int_Tables_number 1
loop_
_symmetry_equiv_pos_as_xyz
'x,y,z'
loop_
_atom_site_label
_atom_site_type_symbol
_atom_site_fract_x
_atom_site_fract_y
_atom_site_fract_z
Sr1 Sr 0.000 0.000 0.000
Tl1 Tl 0.500 0.500 0.000
Ni1 Ni 0.500 0.500 0.500
Cl1 Cl 0.000 0.500 0.500
Cl2 Cl 0.500 0.000 0.500
# - Total DFT energy (no corrections): -3.31 eV per atom

# SrNi2WCl (PBE, relaxed)
data_SrNi2WCl
_cell_length_a 4.986
_cell_length_b 4.986
_cell_length_c 5.141
_cell_angle_alpha 90.00
_cell_angle_beta 90.00
_cell_angle_gamma 90.00
_symmetry_space_group_name_H-M 'P 1'
_symmetry_Int_Tables_number 1
loop_
_symmetry_equiv_pos_as_xyz
'x,y,z'
loop_
_atom_site_label
_atom_site_type_symbol
_atom_site_fract_x
_atom_site_fract_y
_atom_site_fract_z
Sr1 Sr 0.000 0.000 0.000
Ni1 Ni 0.000 0.500 0.000
Ni2 Ni 0.500 0.000 0.000
W1 W 0.500 0.500 0.500
Cl1 Cl 0.000 0.000 0.500
# - Total DFT energy (no corrections): -3.73 eV per atom

# Ta2NiCl (PBE, relaxed)
data_Ta2NiCl
_cell_length_a 2.979
_cell_length_b 2.999
_cell_length_c 7.467
_cell_angle_alpha 90.00
_cell_angle_beta 90.00
_cell_angle_gamma 90.00
_symmetry_space_group_name_H-M 'P 1'
_symmetry_Int_Tables_number 1
loop_
_symmetry_equiv_pos_as_xyz
'x,y,z'
loop_
_atom_site_label
_atom_site_type_symbol
_atom_site_fract_x
_atom_site_fract_y
_atom_site_fract_z
Ta1 Ta 0.000 0.000 0.211
Ta2 Ta 0.000 0.000 0.789
Ni1 Ni 0.500 0.500 0.000
Cl1 Cl 0.500 0.000 0.500
# - Total DFT energy (no corrections): -7.78 eV per atom
# - E above lowest polymorph: 0.0874 eV/atom

# Ta2NiCl (PBE, relaxed)
data_Ta2NiCl
_cell_length_a 4.258
_cell_length_b 4.258
_cell_length_c 5.674
_cell_angle_alpha 99.99
_cell_angle_beta 99.99
_cell_angle_gamma 39.53
_symmetry_space_group_name_H-M 'P 1'
_symmetry_Int_Tables_number 1
loop_
_symmetry_equiv_pos_as_xyz
'x,y,z'
loop_
_atom_site_label
_atom_site_type_symbol
_atom_site_fract_x
_atom_site_fract_y
_atom_site_fract_z
Ta1 Ta 0.245 0.245 0.237
Ta2 Ta 0.755 0.755 0.763
Ni1 Ni 0.500 0.500 0.000
Cl1 Cl 0.000 0.000 0.500
# - Total DFT energy (no corrections): -7.56 eV per atom
# - E above lowest polymorph: 0.3084 eV/atom